No. 1
## Cs2KPdBr6 (GGA-PBE)

Data for crystalline Cs2KPdBr6 at its relaxed geometry.

Results
The value obtained for the total energy is -29.47 eV/f.u.

Cell and atoms, written as CIF:
```
data_Cs2KPdBr6
_chemical_formula_sum 'Cs8 K4 Pd4 Br24'
_space_group_name_H-M_alt 'F m -3 m'
_space_group_IT_number 225
_space_group_name_Hall '-F 4 2 3'
_cell_length_a 11.434
_cell_length_b 11.434
_cell_length_c 11.434
_cell_angle_alpha 90.00
_cell_angle_beta 90.00
_cell_angle_gamma 90.00
loop_
_atom_site_label
_atom_site_type_symbol
_atom_site_fract_x
_atom_site_fract_y
_atom_site_fract_z
Cs1 Cs 0.250 0.250 0.250
K1 K 0.000 0.000 0.000
Pd1 Pd 0.000 0.000 0.500
Br1 Br 0.000 0.000 0.275
```

=====

No. 2
## GdCdGa2 (GGA-PBE)

Data for crystalline GdCdGa2 at its relaxed geometry.

Results
The value obtained for the total energy is -13.34 eV/f.u. The total moment is 0.00 μB/f.u.

Cell and atoms, written as CIF:
```
data_GdCdGa2
_chemical_formula_sum 'Gd4 Cd4 Ga8'
_space_group_name_H-M_alt 'A m m 2'
_space_group_IT_number 38
_cell_length_a 4.703
_cell_length_b 6.216
_cell_length_c 11.604
_cell_angle_alpha 90.00
_cell_angle_beta 90.00
_cell_angle_gamma 90.00
loop_
_space_group_symop_operation_xyz
'x,y,z'
'-x,-y,z'
'-x,y,z'
'x,-y,z'
'x,y+1/2,z+1/2'
'-x,-y+1/2,z+1/2'
'-x,y+1/2,z+1/2'
'x,-y+1/2,z+1/2'
loop_
_atom_site_label
_atom_site_type_symbol
_atom_site_fract_x
_atom_site_fract_y
_atom_site_fract_z
Gd1 Gd 0.000 0.000 0.000
Gd2 Gd 0.500 0.000 0.357
Cd1 Cd 0.000 0.245 0.747
Ga1 Ga 0.000 0.000 0.521
Ga2 Ga 0.500 0.000 0.822
Ga3 Ga 0.500 0.231 0.601
```

=====

No. 3
## Mg2MoPd (GGA-PBE)

Data for crystalline Mg2MoPd at its relaxed geometry.

Results
The value obtained for the total energy is -18.50 eV/f.u. The total moment is 1.97 μB/f.u.

Cell and atoms, written as CIF:
```
data_Mg2MoPd
_chemical_formula_sum 'Mg8 Mo4 Pd4'
_space_group_name_H-M_alt 'F -4 3 m'
_space_group_IT_number 216
_space_group_name_Hall 'F -4 2 3'
_cell_length_a 6.475
_cell_length_b 6.475
_cell_length_c 6.475
_cell_angle_alpha 90.00
_cell_angle_beta 90.00
_cell_angle_gamma 90.00
loop_
_atom_site_label
_atom_site_type_symbol
_atom_site_fract_x
_atom_site_fract_y
_atom_site_fract_z
Mg1 Mg 0.000 0.000 0.000
Mg2 Mg 0.250 0.250 0.250
Mo1 Mo 0.250 0.250 0.750
Pd1 Pd 0.000 0.000 0.500
```

=====

No. 4
## CoCl (GGA-PBE)

Data for crystalline CoCl at its relaxed geometry.

Results
The value obtained for the total energy is -8.78 eV/f.u. The total moment is 2.00 μB/f.u.

Cell and atoms, written as CIF:
```
data_CoCl
_chemical_formula_sum 'Co4 Cl4'
_space_group_name_H-M_alt 'F -4 3 m'
_space_group_IT_number 216
_space_group_name_Hall 'F -4 2 3'
_cell_length_a 5.218
_cell_length_b 5.218
_cell_length_c 5.218
_cell_angle_alpha 90.00
_cell_angle_beta 90.00
_cell_angle_gamma 90.00
loop_
_atom_site_label
_atom_site_type_symbol
_atom_site_fract_x
_atom_site_fract_y
_atom_site_fract_z
Co1 Co 0.000 0.000 0.000
Cl1 Cl 0.250 0.250 0.250
```

=====

No. 5
## CuAgMoPd (GGA-PBE)

Data for crystalline CuAgMoPd at its relaxed geometry.

Results
The calculation puts the formation enthalpy at 0 K at 0.32 eV per atom. The value obtained for the total energy is -21.27 eV/f.u. For the energy above the most stable polymorph in this dataset, the calculation gives 0.0 kJ/mol of formula units. The total moment is 0.01 μB/f.u.

Cell and atoms, written as CIF:
```
data_CuAgMoPd
_chemical_formula_sum 'Cu4 Ag4 Mo4 Pd4'
_space_group_name_H-M_alt 'F -4 3 m'
_space_group_IT_number 216
_space_group_name_Hall 'F -4 2 3'
_cell_length_a 6.239
_cell_length_b 6.239
_cell_length_c 6.239
_cell_angle_alpha 90.00
_cell_angle_beta 90.00
_cell_angle_gamma 90.00
loop_
_atom_site_label
_atom_site_type_symbol
_atom_site_fract_x
_atom_site_fract_y
_atom_site_fract_z
Cu1 Cu 0.000 0.000 0.000
Ag1 Ag 0.250 0.250 0.250
Mo1 Mo 0.250 0.250 0.750
Pd1 Pd 0.000 0.000 0.500
```

=====

No. 6
## AcNiHg (GGA-PBE)

Data for crystalline AcNiHg at its relaxed geometry.

Results
The calculation puts the formation enthalpy at 0 K at 0.14 eV per atom. The value obtained for the total energy is -9.57 eV/f.u. For the energy above the most stable polymorph in this dataset, the calculation gives 154.8 kJ/mol of formula units. The total moment is 0.00 μB/f.u.

Cell and atoms, written as CIF:
```
data_AcNiHg
_chemical_formula_sum 'Ac4 Ni4 Hg4'
_space_group_name_H-M_alt 'F -4 3 m'
_space_group_IT_number 216
_space_group_name_Hall 'F -4 2 3'
_cell_length_a 7.071
_cell_length_b 7.071
_cell_length_c 7.071
_cell_angle_alpha 90.00
_cell_angle_beta 90.00
_cell_angle_gamma 90.00
loop_
_atom_site_label
_atom_site_type_symbol
_atom_site_fract_x
_atom_site_fract_y
_atom_site_fract_z
Ac1 Ac 0.000 0.000 0.000
Ni1 Ni 0.000 0.000 0.500
Hg1 Hg 0.250 0.250 0.250
```

=====

No. 7
## Nd3Gd2HoFeTe2 (GGA-PBE)

Data for crystalline Nd3Gd2HoFeTe2 at its relaxed geometry.

Results
The value obtained for the total energy is -48.53 eV/f.u. The total moment is 0.02 μB/f.u.

Cell and atoms, written as CIF:
```
data_Nd3Gd2HoFeTe2
_chemical_formula_sum 'Nd6 Gd4 Ho2 Fe2 Te4'
_space_group_name_H-M_alt 'A m m 2'
_space_group_IT_number 38
_cell_length_a 4.039
_cell_length_b 14.658
_cell_length_c 8.488
_cell_angle_alpha 90.00
_cell_angle_beta 90.00
_cell_angle_gamma 90.00
loop_
_space_group_symop_operation_xyz
'x,y,z'
'-x,-y,z'
'-x,y,z'
'x,-y,z'
'x,y+1/2,z+1/2'
'-x,-y+1/2,z+1/2'
'-x,y+1/2,z+1/2'
'x,-y+1/2,z+1/2'
loop_
_atom_site_label
_atom_site_type_symbol
_atom_site_fract_x
_atom_site_fract_y
_atom_site_fract_z
Nd1 Nd 0.000 0.000 0.000
Nd2 Nd 0.000 0.201 0.604
Gd1 Gd 0.500 0.115 0.288
Ho1 Ho 0.500 0.000 0.633
Fe1 Fe 0.000 0.000 0.407
Te1 Te 0.500 0.166 0.902
```

=====

No. 8
## Y2CdFeC (GGA-PBE)

Data for crystalline Y2CdFeC at its relaxed geometry.

Results
The value obtained for the total energy is -32.95 eV/f.u. The total moment is 0.10 μB/f.u.

Cell and atoms, written as CIF:
```
data_Y2CdFeC
_chemical_formula_sum 'Y2 Cd1 Fe1 C1'
_space_group_name_H-M_alt 'P 4/m m m'
_space_group_IT_number 123
_space_group_name_Hall '-P 4 2'
_cell_length_a 5.046
_cell_length_b 5.046
_cell_length_c 3.712
_cell_angle_alpha 90.00
_cell_angle_beta 90.00
_cell_angle_gamma 90.00
loop_
_atom_site_label
_atom_site_type_symbol
_atom_site_fract_x
_atom_site_fract_y
_atom_site_fract_z
Y1 Y 0.000 0.500 0.000
Cd1 Cd 0.000 0.000 0.500
Fe1 Fe 0.500 0.500 0.500
C1 C 0.500 0.500 0.000
```